{"formula": "YTh3S4", "functional": "PBE-GGA", "state": "optimized geometry", "vol_a3_per_atom": 22.855, "total_magnetization_mub_per_fu": 0.00, "spacegroup": "P2/c", "mass_density_g_cm3": 8.3, "crystal_system": "monoclinic", "e_form_raw_ev_per_fu": -15.0, "final_energy_ev_per_atom": -7.53, "cell": [[6.943, 0.000, 0.000], [0.000, 8.165, 0.000], [-2.384, 0.000, 6.451]], "species": ["Y", "Y", "Th", "Th", "Th", "Th", "Th", "Th", "S", "S", "S", "S", "S", "S", "S", "S"], "fractional_positions": [[0.000, 0.124, 0.250], [0.000, 0.876, 0.750], [0.000, 0.375, 0.750], [0.000, 0.625, 0.250], [0.500, 0.125, 0.750], [0.500, 0.376, 0.250], [0.500, 0.624, 0.750], [0.500, 0.875, 0.250], [0.241, 0.120, 0.000], [0.241, 0.880, 0.500], [0.244, 0.370, 0.495], [0.244, 0.630, 0.995], [0.756, 0.370, 0.005], [0.756, 0.630, 0.505], [0.759, 0.120, 0.500], [0.759, 0.880, 0.000]]}


{"formula": "Sc5IrPt2", "functional": "PBE-GGA", "state": "optimized geometry", "vol_a3_per_atom": 19.469, "total_magnetization_mub_per_fu": 0.00, "spacegroup": "Pbam", "mass_density_g_cm3": 8.6, "crystal_system": "orthorhombic", "final_energy_ev_per_atom": -7.54, "delta_e_f_mev_per_atom": -961, "cell": [[6.178, 0.000, 0.000], [0.000, 11.095, 0.000], [0.000, 0.000, 4.545]], "species": ["Sc", "Sc", "Sc", "Sc", "Sc", "Sc", "Sc", "Sc", "Sc", "Sc", "Ir", "Ir", "Pt", "Pt", "Pt", "Pt"], "fractional_positions": [[0.000, 0.000, 0.000], [0.150, 0.281, 0.000], [0.172, 0.602, 0.500], [0.328, 0.102, 0.500], [0.350, 0.781, 0.000], [0.500, 0.500, 0.000], [0.650, 0.219, 0.000], [0.672, 0.898, 0.500], [0.828, 0.398, 0.500], [0.850, 0.719, 0.000], [0.000, 0.500, 0.000], [0.500, 0.000, 0.000], [0.092, 0.852, 0.500], [0.408, 0.352, 0.500], [0.592, 0.648, 0.500], [0.908, 0.148, 0.500]]}